No. 1
VASP calculation (PBE-GGA) on YTi2Ga2 after structural relaxation.

The crystal system is tetragonal. The energy above the most stable polymorph in this dataset comes out at 120.5 meV per atom. The value obtained for the density of states at the Fermi level is 0.9203 states/eV/atom. The formation energy from the elements comes out at -0.30 eV per atom.

The structure belongs to space group P4/mbm (No. 127); the cell edges are 8.0101, 8.0101 and 2.9258 Å and the angles 90.00°, 90.00° and 90.00°. Symmetry generates all atoms from Y at (0.0000, 0.0000, 0.0000), Ti at (0.1160, 0.3840, 0.0000) and Ga at (0.1772, 0.6772, 0.5000).

No. 2
VASP calculation (PBE-GGA) on YTi3Ga after structural relaxation.

The crystal system is cubic. The energy above the most stable polymorph in this dataset comes out at 0.0 meV per atom. The value obtained for the density of states at the Fermi level is 1.0942 states/eV/atom. The formation energy from the elements comes out at 0.43 eV per atom.

The structure belongs to space group Pm-3m (No. 221); the cell edges are 4.8593, 4.8593 and 4.8593 Å and the angles 90.00°, 90.00° and 90.00°. Symmetry generates all atoms from Y at (0.0000, 0.0000, 0.0000), Ti at (0.0000, 0.5000, 0.5000) and Ga at (0.5000, 0.5000, 0.5000).

No. 3
VASP calculation (PBE-GGA) on YTi2Ga2 after structural relaxation.

The crystal system is tetragonal. The energy above the most stable polymorph in this dataset comes out at 0.0 meV per atom. The value obtained for the density of states at the Fermi level is 0.9801 states/eV/atom. The formation energy from the elements comes out at -0.42 eV per atom.

The structure belongs to space group I4/mmm (No. 139); the cell edges are 4.0428, 4.0428 and 12.1022 Å and the angles 90.00°, 90.00° and 90.00°. Symmetry generates all atoms from Y at (0.0000, 0.0000, 0.0000), Ti at (0.0000, 0.5000, 0.2500) and Ga at (0.0000, 0.0000, 0.3969).

No. 4
VASP calculation (PBE-GGA) on YTi2Ga2 after structural relaxation.

The crystal system is tetragonal. The energy above the most stable polymorph in this dataset comes out at 86.7 meV per atom. The value obtained for the density of states at the Fermi level is 0.9457 states/eV/atom. The formation energy from the elements comes out at -0.34 eV per atom.

The structure belongs to space group P4/mbm (No. 127); the cell edges are 7.6342, 7.6342 and 3.2254 Å and the angles 90.00°, 90.00° and 90.00°. Symmetry generates all atoms from Y at (0.0000, 0.0000, 0.0000), Ti at (0.1751, 0.3249, 0.5000) and Ga at (0.1217, 0.6217, 0.0000).

No. 5
VASP calculation (PBE-GGA) on YTi3Ga2 after structural relaxation.

The crystal system is monoclinic. The value obtained for the density of states at the Fermi level is 1.1435 states/eV/atom. The formation energy from the elements comes out at -0.31 eV per atom.

The structure belongs to space group C2/m (No. 12); the cell edges are 15.9591, 4.0652 and 8.2002 Å and the angles 90.00°, 117.36° and 90.00°. Symmetry generates all atoms from Y at (0.1410, 0.0000, 0.0634), Ti at (0.0510, 0.0000, 0.4007), Ti at (0.0879, 0.5000, 0.6751), Ti at (0.1866, 0.5000, 0.4752), Ga at (0.0222, 0.5000, 0.1624) and Ga at (0.2096, 0.0000, 0.7263).

No. 6
VASP calculation (PBE-GGA) on YTi3Ga after structural relaxation.

The crystal system is cubic. The energy above the most stable polymorph in this dataset comes out at 1019.8 meV per atom. The value obtained for the density of states at the Fermi level is 1.2047 states/eV/atom. The formation energy from the elements comes out at 1.45 eV per atom.

The structure belongs to space group Pm-3m (No. 221); the cell edges are 4.8271, 4.8271 and 4.8271 Å and the angles 90.00°, 90.00° and 90.00°. Symmetry generates all atoms from Y at (0.0000, 0.0000, 0.0000), Ti at (0.0000, 0.0000, 0.5000) and Ga at (0.5000, 0.5000, 0.5000).

| no. | final energy (eV per cell) |
| --- | --- |
| 1 | -59.7 |
| 2 | -31.0 |
| 3 | -60.9 |
| 4 | -60.0 |
| 5 | -152.3 |
| 6 | -25.9 |